(1)
VASP calculation (PBE) on a relaxed Sr2FeCuSn4 crystal. Values from VASP.

Summary:
Total energy: -4.25 eV/atom

Quantum ESPRESSO input file:
```
&SYSTEM
  ibrav = 0, nat = 8, ntyp = 4
/
ATOMIC_SPECIES
Sn 118.71 Sn.upf
Cu 63.55 Cu.upf
Fe 55.84 Fe.upf
Sr 87.62 Sr.upf
CELL_PARAMETERS angstrom
-1.7050 0.4980 4.2264
4.9419 -8.0974 2.9479
7.9665 -4.5947 3.7553
ATOMIC_POSITIONS angstrom
Sn -0.2509 -0.3425 2.4256
Sn 8.8043 -9.2459 7.1278
Sn 12.3562 -12.1490 6.4164
Sn 3.2050 -3.1513 1.6643
Cu 10.6437 -10.4653 5.5271
Fe 1.4744 -2.0389 3.3215
Sr 4.1633 -4.6827 4.7178
Sr 7.8277 -7.6965 4.0648
```

=====

(2)
VASP calculation (PBE) on a relaxed FeCuSnW crystal. Values from VASP.

Summary:
Total energy: -6.66 eV/atom

Quantum ESPRESSO input file:
```
&SYSTEM
  ibrav = 0, nat = 4, ntyp = 4
/
ATOMIC_SPECIES
Fe 55.84 Fe.upf
Cu 63.55 Cu.upf
Sn 118.71 Sn.upf
W 183.84 W.upf
CELL_PARAMETERS angstrom
-3.4799 -2.6722 0.5542
-2.7936 0.6755 3.3612
-4.0858 1.4980 -0.7875
ATOMIC_POSITIONS angstrom
Fe -7.7695 -0.3741 2.3459
Cu -5.1796 -0.2494 1.5639
Sn 0.0000 0.0000 0.0000
W -2.5898 -0.1247 0.7820
```

=====

(3)
VASP calculation (PBE) on a relaxed FeCuSnW crystal. Values from VASP.

Summary:
Total energy: -6.86 eV/atom

Quantum ESPRESSO input file:
```
&SYSTEM
  ibrav = 0, nat = 4, ntyp = 4
/
ATOMIC_SPECIES
Fe 55.84 Fe.upf
Sn 118.71 Sn.upf
Cu 63.55 Cu.upf
W 183.84 W.upf
CELL_PARAMETERS angstrom
0.0000 3.0769 3.0769
3.0769 0.0000 3.0769
3.0769 3.0769 0.0000
ATOMIC_POSITIONS angstrom
Fe 1.5384 1.5384 1.5384
Sn 0.0000 0.0000 0.0000
Cu 4.6153 4.6153 4.6153
W 3.0769 3.0769 3.0769
```

=====

no.,theoretical density (Mg/m³)
1,6.15
2,11.46
3,12.03